1.
Material: RbLaIO2
Method: DFT, PBE
State: relaxed

a = 4.684 Å, b = 4.684 Å, c = 6.778 Å
α = 90.00°, β = 90.00°, γ = 90.00°
Positions (direct):
Rb (0.000, 0.000, 0.000)
La (0.500, 0.500, 0.500)
I (0.500, 0.500, 0.000)
O (0.000, 0.500, 0.500)
O (0.500, 0.000, 0.500)

Summary:
The value obtained for the uncorrected formation energy is -1794 meV/atom. Its density of states at the Fermi level is 3.1 states/eV/cell. The total magnetization is 0.00 μB/f.u.

2.
Material: Ca2ZrBiPd
Method: DFT, PBE
State: relaxed

a = 5.822 Å, b = 5.822 Å, c = 5.521 Å
α = 90.00°, β = 90.00°, γ = 90.00°
Positions (direct):
Ca (0.000, 0.500, 0.000)
Ca (0.500, 0.000, 0.000)
Zr (0.000, 0.000, 0.500)
Bi (0.000, 0.000, 0.000)
Pd (0.500, 0.500, 0.500)

Summary:
Its density of states at the Fermi level is 5.9 states/eV/cell. As for the formation energy: 0.5126 eV per atom. The total magnetization is 1.73 μB/f.u.

3.
Material: CoSiTc2Pt
Method: DFT, PBE
State: relaxed

a = 4.415 Å, b = 4.415 Å, c = 4.380 Å
α = 90.00°, β = 90.00°, γ = 90.00°
Positions (direct):
Co (0.000, 0.000, 0.000)
Si (0.500, 0.500, 0.500)
Tc (0.000, 0.500, 0.500)
Tc (0.500, 0.000, 0.500)
Pt (0.500, 0.500, 0.000)

Summary:
The value obtained for the uncorrected formation energy is 953 meV/atom. Its density of states at the Fermi level is 8.6 states/eV/cell. The total magnetization is 3.86 μB/f.u.

4.
Material: HfTi5Bi2
Method: DFT, PBE
State: relaxed

a = 7.443 Å, b = 7.443 Å, c = 7.443 Å
α = 155.28°, β = 107.02°, γ = 78.40°
Positions (direct):
Hf (0.000, 0.000, 0.000)
Ti (0.161, 0.384, 0.777)
Ti (0.393, 0.616, 0.777)
Ti (0.500, 0.000, 0.500)
Ti (0.607, 0.384, 0.223)
Ti (0.839, 0.616, 0.223)
Bi (0.244, 0.744, 0.500)
Bi (0.756, 0.256, 0.500)

Summary:
Its density of states at the Fermi level is 10.6 states/eV/cell. As for the formation energy: 0.0409 eV per atom. The total magnetization is 0.00 μB/f.u.